This record from the Alexandria database describes a relaxed CdTeBr2 crystal. The functional is GGA-PBE.

Geometry as POSCAR:
```
CdTeBr2
1.0
3.631 0.000 0.000
0.000 3.631 0.000
0.000 0.000 8.831
Te Cd Br
1 1 2
Direct
0.500 0.500 0.734
0.000 0.000 0.499
0.000 0.000 0.945
0.500 0.500 0.322
```

## Properties
E_tot   -7.7 eV per cell
Energy above the most stable polymorph in this dataset   319 meV/atom
Space-group type   P4mm
ΔE_f (raw)   -0.070 eV per atom